# TaSnHRh2, relaxed, DFT PBE-GGA
data_TaSnHRh2
_cell_length_a 4.0721
_cell_length_b 4.0721
_cell_length_c 4.1488
_cell_angle_alpha 90.00
_cell_angle_beta 90.00
_cell_angle_gamma 90.00
_symmetry_space_group_name_H-M 'P 1'
_symmetry_Int_Tables_number 1
loop_
_symmetry_equiv_pos_as_xyz
'x,y,z'
loop_
_atom_site_label
_atom_site_type_symbol
_atom_site_fract_x
_atom_site_fract_y
_atom_site_fract_z
Ta1 Ta 0.0000 0.0000 0.0000
Sn1 Sn 0.5000 0.5000 0.0000
H1 H 0.0000 0.0000 0.5000
Rh1 Rh 0.0000 0.5000 0.5000
Rh2 Rh 0.5000 0.0000 0.5000
# N(E_F)	4.837	states/eV per cell
# space group	P4/mmm, No. 123
# energy	-6.96	eV per atom

---

# NiHSeN2, relaxed, DFT PBE-GGA
data_NiHSeN2
_cell_length_a 3.7543
_cell_length_b 3.7543
_cell_length_c 3.2998
_cell_angle_alpha 90.00
_cell_angle_beta 90.00
_cell_angle_gamma 90.00
_symmetry_space_group_name_H-M 'P 1'
_symmetry_Int_Tables_number 1
loop_
_symmetry_equiv_pos_as_xyz
'x,y,z'
loop_
_atom_site_label
_atom_site_type_symbol
_atom_site_fract_x
_atom_site_fract_y
_atom_site_fract_z
Ni1 Ni 0.0000 0.0000 0.0000
H1 H 0.5000 0.5000 0.5000
Se1 Se 0.5000 0.5000 0.0000
N1 N 0.0000 0.5000 0.5000
N2 N 0.5000 0.0000 0.5000
# N(E_F)	2.236	states/eV per cell
# space group	P4/mmm, No. 123
# polymorph energy (0 for the lowest one)	1.84	eV/f.u.
# energy	-3.92	eV per atom

---

# NaIBr3, relaxed, DFT PBE-GGA
data_NaIBr3
_cell_length_a 6.3977
_cell_length_b 7.6206
_cell_length_c 8.8035
_cell_angle_alpha 76.63
_cell_angle_beta 69.58
_cell_angle_gamma 70.89
_symmetry_space_group_name_H-M 'P 1'
_symmetry_Int_Tables_number 1
loop_
_symmetry_equiv_pos_as_xyz
'x,y,z'
loop_
_atom_site_label
_atom_site_type_symbol
_atom_site_fract_x
_atom_site_fract_y
_atom_site_fract_z
Na1 Na 0.1803 0.4331 0.1946
Na2 Na 0.8197 0.5669 0.8054
I1 I 0.2120 0.9188 0.6904
I2 I 0.7880 0.0812 0.3096
Br1 Br 0.1041 0.2819 0.5655
Br2 Br 0.2973 0.0298 0.0917
Br3 Br 0.3252 0.5464 0.8268
Br4 Br 0.6748 0.4536 0.1732
Br5 Br 0.7027 0.9702 0.9083
Br6 Br 0.8959 0.7181 0.4345
# N(E_F)	0.000	states/eV per cell
# space group	P-1, No. 2
# raw formation energy	-0.62	eV per atom
# polymorph energy (0 for the lowest one)	0.00	eV/f.u.
# energy	-2.20	eV per atom

---

# Cr3Pb, relaxed, DFT PBE-GGA
data_Cr3Pb
_cell_length_a 3.0738
_cell_length_b 3.0738
_cell_length_c 7.2091
_cell_angle_alpha 90.00
_cell_angle_beta 90.00
_cell_angle_gamma 90.00
_symmetry_space_group_name_H-M 'P 1'
_symmetry_Int_Tables_number 1
loop_
_symmetry_equiv_pos_as_xyz
'x,y,z'
loop_
_atom_site_label
_atom_site_type_symbol
_atom_site_fract_x
_atom_site_fract_y
_atom_site_fract_z
Cr1 Cr 0.0000 0.0000 0.0000
Cr2 Cr 0.5000 0.5000 0.1953
Cr3 Cr 0.5000 0.5000 0.8047
Pb1 Pb 0.0000 0.0000 0.5000
# N(E_F)	2.193	states/eV per cell
# space group	P4/mmm, No. 123
# formation energy from the elements	0.48	eV per atom
# energy	-7.66	eV per atom

---

Record order is preserved below.
Total magnetic moment: 0.0, 0.0, 0.0, 4.0 μB per formula unit